## 1
Crystalline La2CoTc at its relaxed geometry. Source: Alexandria via LeMat-Bulk, functional PBE.

## Properties
Total magnetization, μB per formula unit: 0.84

```
La2CoTc
1.0
1.648 -4.730 0.086
-1.780 -3.333 -3.290
2.938 -1.696 -3.686
Co Tc La
1 1 2
direct
0.000 0.000 0.000
0.500 0.500 0.500
0.250 0.250 0.250
0.750 0.750 0.750
```

## 2
Crystalline La2CoTc at its relaxed geometry. Source: Alexandria via LeMat-Bulk, functional PBE.

## Properties
Total magnetization, μB per formula unit: 1.85

```
La2CoTc
1.0
-5.395 5.246 -1.257
-5.320 2.847 -4.669
-7.360 1.566 -1.263
Co La Tc
1 2 1
direct
0.205 0.205 0.205
0.964 0.964 0.964
0.787 0.787 0.787
0.545 0.545 0.545
```

What are the relative energies? In meV/atom: 1 242; 2 0.

## 1
Crystalline La2CoTc at its relaxed geometry. Source: Alexandria via LeMat-Bulk, functional PBE.

## Properties
Total magnetization, μB per formula unit: 0.05

```
La2CoTc
1.0
-3.876 6.808 2.882
-5.611 6.177 -0.224
-6.547 4.378 2.766
Co La Tc
1 2 1
direct
0.250 0.250 0.250
0.994 0.994 0.994
0.506 0.506 0.506
0.750 0.750 0.750
```

## 2
Crystalline La2CoTc at its relaxed geometry. Source: Alexandria via LeMat-Bulk, functional PBE.

## Properties
Total magnetization, μB per formula unit: 1.15

```
La2CoTc
1.0
5.862 -0.021 0.000
2.995 5.039 0.000
-4.429 -2.509 2.908
Co La Tc
1 2 1
direct
0.750 0.250 0.500
0.000 0.000 0.000
0.250 0.750 0.500
0.500 0.500 0.000
```

What are the relative energies? In meV/atom: 1 72; 2 0.

## 1
Crystalline La2CoTc at its relaxed geometry. Source: Alexandria via LeMat-Bulk, functional PBE.

## Properties
Total magnetization, μB per formula unit: 1.17

```
La2CoTc
1.0
3.557 0.000 0.000
0.000 3.551 0.054
0.000 3.429 7.132
Co La Tc
1 2 1
direct
0.500 0.750 0.750
0.000 0.002 0.999
0.000 0.498 0.501
0.500 0.250 0.250
```

## 2
Crystalline La2CoTc at its relaxed geometry. Source: Alexandria via LeMat-Bulk, functional PBE.

## Properties
Total magnetization, μB per formula unit: 0.75

```
La2CoTc
1.0
-1.475 -2.651 -3.974
4.066 1.504 -2.512
1.785 -2.805 1.208
Co La Tc
1 2 1
direct
0.000 0.500 0.500
0.000 0.000 0.000
0.500 0.500 0.000
0.500 0.000 0.500
```

What are the relative energies? In meV/atom: 1 0; 2 7.

## 1
Crystalline La2CoTc at its relaxed geometry. Source: Alexandria via LeMat-Bulk, functional PBE.

## Properties
Total magnetization, μB per formula unit: 0.99

```
La2CoTc
1.0
3.434 0.000 0.000
0.000 3.433 0.000
0.000 0.000 8.218
Co La Tc
1 2 1
direct
0.500 0.500 0.679
0.000 0.000 0.905
0.500 0.500 0.332
0.000 0.000 0.584
```

## 2
Crystalline La2CoTc at its relaxed geometry. Source: Alexandria via LeMat-Bulk, functional PBE.

## Properties
Total magnetization, μB per formula unit: 0.00

```
La2CoTc
1.0
-2.595 2.742 2.017
1.105 -1.972 4.103
4.263 2.152 2.560
Co La Tc
1 2 1
direct
0.500 0.576 0.724
0.000 0.979 0.917
0.500 0.281 0.312
0.000 0.664 0.547
```

What are the relative energies? In meV/atom: 1 189; 2 0.

## 1
Crystalline LaCo2Tc2 at its relaxed geometry. Source: Alexandria via LeMat-Bulk, functional PBE.

## Properties
Total magnetization, μB per formula unit: 2.83

```
LaCo2Tc2
1.0
4.167 0.000 0.000
0.000 4.167 0.000
2.084 2.084 5.053
Co Tc La
2 2 1
direct
0.750 0.250 0.500
0.250 0.750 0.500
0.381 0.381 0.238
0.619 0.619 0.762
0.000 0.000 0.000
```

## 2
Crystalline LaCo2Tc2 at its relaxed geometry. Source: Alexandria via LeMat-Bulk, functional PBE.

## Properties
Total magnetization, μB per formula unit: 0.61

```
LaCo2Tc2
1.0
-3.284 1.177 6.698
4.305 -5.398 3.059
1.908 1.866 0.607
Co Tc La
4 4 2
direct
0.169 0.669 0.500
0.669 0.831 0.500
0.831 0.331 0.500
0.331 0.169 0.500
0.380 0.880 0.000
0.880 0.620 0.000
0.620 0.120 0.000
0.120 0.380 0.000
0.000 0.000 0.000
0.500 0.500 0.000
```

What are the relative energies? In meV/atom: 1 0; 2 83.

## 1
Crystalline LaThCo2 at its relaxed geometry. Source: Alexandria via LeMat-Bulk, functional PBE.

## Properties
Total magnetization, μB per formula unit: 0.00

```
LaThCo2
1.0
5.288 0.000 -1.255
0.000 5.455 0.000
0.033 0.000 11.641
La Th Co
4 4 8
direct
0.946 0.626 0.637
0.054 0.374 0.363
0.554 0.626 0.863
0.446 0.374 0.137
0.559 0.872 0.367
0.441 0.128 0.633
0.941 0.872 0.133
0.059 0.128 0.867
0.917 0.362 0.078
0.083 0.638 0.922
0.583 0.362 0.422
0.417 0.638 0.578
0.581 0.121 0.908
0.419 0.879 0.092
0.919 0.121 0.592
0.081 0.879 0.408
```

## 2
Crystalline LaThCo2 at its relaxed geometry. Source: Alexandria via LeMat-Bulk, functional PBE.

## Properties
Total magnetization, μB per formula unit: 0.00

```
LaThCo2
1.0
4.658 0.000 0.000
0.000 7.576 0.000
0.000 0.000 9.814
La Th Co
4 4 8
direct
0.750 0.912 0.123
0.250 0.088 0.877
0.750 0.412 0.377
0.250 0.588 0.623
0.250 0.562 0.126
0.250 0.062 0.374
0.750 0.438 0.874
0.750 0.938 0.626
0.750 0.793 0.855
0.250 0.207 0.145
0.750 0.293 0.645
0.250 0.707 0.355
0.750 0.805 0.395
0.250 0.695 0.895
0.750 0.305 0.105
0.250 0.195 0.605
```

## 3
Crystalline LaThCo2 at its relaxed geometry. Source: Alexandria via LeMat-Bulk, functional PBE.

## Properties
Total magnetization, μB per formula unit: 0.00

```
LaThCo2
1.0
3.462 0.000 0.000
0.000 3.462 0.000
0.000 0.000 7.036
Co Th La
2 1 1
direct
0.000 0.000 0.794
0.000 0.000 0.206
0.500 0.500 0.000
0.500 0.500 0.500
```

What are the relative energies? In meV/atom: 1 0; 2 44; 3 105.

## 1
Crystalline LaTi2Co at its relaxed geometry. Source: Alexandria via LeMat-Bulk, functional PBE.

## Properties
Total magnetization, μB per formula unit: 0.00

```
LaTi2Co
1.0
4.768 0.000 0.000
0.000 4.768 0.000
2.384 2.384 8.341
Ti Co La
4 2 2
direct
0.375 0.125 0.250
0.375 0.625 0.250
0.375 0.625 0.750
0.875 0.625 0.750
0.500 0.500 0.000
0.250 0.750 0.500
0.000 0.000 0.000
0.750 0.250 0.500
```

## 2
Crystalline LaTi2Co at its relaxed geometry. Source: Alexandria via LeMat-Bulk, functional PBE.

## Properties
Total magnetization, μB per formula unit: 0.00

```
LaTi2Co
1.0
-2.451 1.881 3.405
-2.758 3.577 -0.857
-4.565 -0.537 0.116
Ti Co La
2 1 1
direct
0.250 0.250 0.250
0.750 0.750 0.750
0.000 0.000 0.000
0.500 0.500 0.500
```

What are the relative energies? In meV/atom: 1 324; 2 0.

## 1
Crystalline LaTi3Co at its relaxed geometry. Source: Alexandria via LeMat-Bulk, functional PBE.

## Properties
Total magnetization, μB per formula unit: 0.00

```
LaTi3Co
1.0
4.666 0.000 0.000
0.000 4.666 0.000
0.000 0.000 4.666
Ti Co La
3 1 1
direct
0.000 0.500 0.000
0.000 0.000 0.500
0.500 0.000 0.000
0.000 0.000 0.000
0.500 0.500 0.500
```

## 2
Crystalline LaTi3Co at its relaxed geometry. Source: Alexandria via LeMat-Bulk, functional PBE.

## Properties
Total magnetization, μB per formula unit: 0.00

```
LaTi3Co
1.0
4.714 0.000 0.000
0.000 4.714 0.000
0.000 0.000 4.714
Ti Co La
3 1 1
direct
0.000 0.500 0.000
0.000 0.000 0.500
0.500 0.000 0.000
0.500 0.500 0.500
0.000 0.000 0.000
```

What are the relative energies? In meV/atom: 1 0; 2 1546.

## 1
Crystalline LaTiCo2 at its relaxed geometry. Source: Alexandria via LeMat-Bulk, functional PBE.

## Properties
Total magnetization, μB per formula unit: 0.44

```
LaTiCo2
1.0
-0.510 2.964 -0.629
0.322 -0.581 -3.000
-6.871 -1.285 -0.488
Ti Co La
1 2 1
direct
0.500 0.500 0.000
0.000 0.000 0.810
0.000 0.000 0.190
0.500 0.500 0.500
```

## 2
Crystalline LaTiCo2 at its relaxed geometry. Source: Alexandria via LeMat-Bulk, functional PBE.

## Properties
Total magnetization, μB per formula unit: 0.00

```
LaTiCo2
1.0
-0.916 -2.406 6.397
6.829 -0.061 0.955
2.836 1.570 4.713
Ti Co La
2 4 2
direct
0.500 0.500 0.000
0.250 0.750 0.500
0.587 0.125 0.250
0.163 0.625 0.250
0.375 0.413 0.750
0.875 0.837 0.750
0.000 0.000 0.000
0.750 0.250 0.500
```

What are the relative energies? In meV/atom: 1 0; 2 346.

## 1
Crystalline LaTlCo3 at its relaxed geometry. Source: Alexandria via LeMat-Bulk, functional PBE.

## Properties
Total magnetization, μB per formula unit: 3.66

```
LaTlCo3
1.0
4.829 0.000 0.000
0.000 4.829 0.000
0.000 0.000 4.829
Tl Co La
1 3 1
direct
0.000 0.000 0.000
0.000 0.500 0.000
0.000 0.000 0.500
0.500 0.000 0.000
0.500 0.500 0.500
```

## 2
Crystalline LaTlCo3 at its relaxed geometry. Source: Alexandria via LeMat-Bulk, functional PBE.

## Properties
Total magnetization, μB per formula unit: 1.38

```
LaTlCo3
1.0
4.692 0.000 0.000
0.000 4.692 0.000
0.000 0.000 4.692
Tl Co La
1 3 1
direct
0.500 0.500 0.500
0.000 0.500 0.000
0.000 0.000 0.500
0.500 0.000 0.000
0.000 0.000 0.000
```

What are the relative energies? In meV/atom: 1 0; 2 422.

## 1
Crystalline LaTl2Co2 at its relaxed geometry. Source: Alexandria via LeMat-Bulk, functional PBE.

## Properties
Total magnetization, μB per formula unit: 2.09

```
LaTl2Co2
1.0
4.485 0.000 0.000
0.000 4.485 0.000
2.242 2.242 5.375
Tl Co La
2 2 1
direct
0.750 0.250 0.500
0.250 0.750 0.500
0.399 0.399 0.202
0.601 0.601 0.798
0.000 0.000 0.000
```

## 2
Crystalline LaTl2Co2 at its relaxed geometry. Source: Alexandria via LeMat-Bulk, functional PBE.

## Properties
Total magnetization, μB per formula unit: 0.00

```
LaTl2Co2
1.0
-0.901 2.913 -3.246
-3.914 -2.002 -0.711
-4.778 3.792 1.674
Tl Co La
2 2 1
direct
0.366 0.366 0.268
0.634 0.634 0.732
0.750 0.250 0.500
0.250 0.750 0.500
0.000 0.000 0.000
```

What are the relative energies? In meV/atom: 1 0; 2 115.

## 1
Crystalline La2YTlCo at its relaxed geometry. Source: Alexandria via LeMat-Bulk, functional PBE.

## Properties
Total magnetization, μB per formula unit: 0.00

```
La2YTlCo
1.0
5.179 0.000 0.000
0.000 5.179 0.000
0.000 0.000 5.465
Y Tl Co La
1 1 1 2
direct
0.000 0.000 0.500
0.500 0.500 0.500
0.000 0.000 0.000
0.000 0.500 0.000
0.500 0.000 0.000
```

## 2
Crystalline La2YTlCo at its relaxed geometry. Source: Alexandria via LeMat-Bulk, functional PBE.

## Properties
Total magnetization, μB per formula unit: 0.26

```
La2YTlCo
1.0
-1.232 5.062 0.571
-4.262 -0.703 -2.968
-2.819 -1.174 4.326
Y Tl Co La
1 1 1 2
direct
0.500 0.500 0.500
0.000 0.000 0.500
0.000 0.000 0.000
0.000 0.500 0.000
0.500 0.000 0.000
```

What are the relative energies? In meV/atom: 1 0; 2 206.